Record 1
First-principles (PBE) data for a relaxed structure of Na2PmInF8, as listed in the Alexandria database.

Computed properties:
ρ	4.65	g/cm3
energy relative to the elements, uncorrected	-3.1342	eV/atom

a = 3.8345 Å, b = 5.5734 Å, c = 7.6506 Å
α = 90.00°, β = 90.00°, γ = 90.00°
Space group Pmmm (No. 47)
One atom of each set of equivalent atoms:
Na (0.0000, 0.0000, 0.2361)
Pm (0.5000, 0.5000, 0.5000)
In (0.5000, 0.5000, 0.0000)
F (0.0000, 0.2590, 0.5000)
F (0.0000, 0.2779, 0.0000)
F (0.5000, 0.2705, 0.2375)

---

Record 2
First-principles (PBE) data for a relaxed structure of YRe2Sn, as listed in the Alexandria database.

Computed properties:
ρ	11.30	g/cm3
E_form	1027.2	meV/atom

a = 7.8161 Å, b = 7.8161 Å, c = 5.5808 Å
α = 90.00°, β = 90.00°, γ = 90.00°
Space group I-42d (No. 122)
One atom of each set of equivalent atoms:
Y (0.0000, 0.0000, 0.0000)
Re (0.2155, 0.2500, 0.6250)
Sn (0.0000, 0.0000, 0.5000)

---

Record 3
First-principles (PBE) data for a relaxed structure of YZn8Fe4, as listed in the Alexandria database.

Computed properties:
ρ	7.26	g/cm3
E_form	-77.9	meV/atom

a = 8.7451 Å, b = 8.7451 Å, c = 4.9980 Å
α = 90.00°, β = 90.00°, γ = 90.00°
Space group I4/mmm (No. 139)
One atom of each set of equivalent atoms:
Y (0.0000, 0.0000, 0.0000)
Zn (0.0000, 0.2264, 0.5000)
Zn (0.0000, 0.3388, 0.0000)
Fe (0.2500, 0.2500, 0.2500)

---

Record 4
First-principles (PBE) data for a relaxed structure of LaPr2Sb2, as listed in the Alexandria database.

Computed properties:
ρ	6.81	g/cm3
energy relative to the elements, uncorrected	-0.7480	eV/atom

a = 6.5670 Å, b = 6.6008 Å, c = 8.1651 Å
α = 90.00°, β = 113.67°, γ = 90.00°
Space group C2/m (No. 12)
One atom of each set of equivalent atoms:
La (0.0000, 0.0000, 0.0000)
Pr (0.0000, 0.2491, 0.5000)
Sb (0.0992, 0.5000, 0.1998)

---

Record 5
First-principles (PBE) data for a relaxed structure of Nd2AgRh2, as listed in the Alexandria database.

Computed properties:
polymorph energy (0 for the lowest one)	0.0	meV/atom
ρ	8.99	g/cm3
E_form	-559.8	meV/atom

a = 4.4786 Å, b = 6.0199 Å, c = 8.2484 Å
α = 90.00°, β = 90.00°, γ = 90.00°
Space group Immm (No. 71)
One atom of each set of equivalent atoms:
Nd (0.0000, 0.0000, 0.2084)
Ag (0.0000, 0.5000, 0.0000)
Rh (0.0000, 0.2798, 0.5000)

---

Record 6
First-principles (PBE) data for a relaxed structure of Tm4SiPbC, as listed in the Alexandria database.

Computed properties:
ρ	9.13	g/cm3
energy relative to the elements, uncorrected	-0.5444	eV/atom

a = 6.6061 Å, b = 15.3710 Å, c = 6.6123 Å
α = 90.00°, β = 90.00°, γ = 90.00°
Space group Cmcm (No. 63)
One atom of each set of equivalent atoms:
Tm (0.0000, 0.0829, 0.2500)
Tm (0.0000, 0.4068, 0.2500)
Tm (0.2500, 0.2500, 0.0000)
Si (0.0000, 0.1158, 0.7500)
Pb (0.0000, 0.3944, 0.7500)
C (0.0000, 0.2474, 0.2500)

---

> ρ of number 1 (Na2PmInF8)?

4.65 g/cm3

---

> What is the ρ in the second record?

11.30 g/cm3